# 1
Material: K3RuBr6
Method: DFT, PBE
State: optimized geometry

Computed properties:
crystal system	monoclinic
SG	No. 14
raw formation energy	-1114	meV/atom
VASP energy	-67.5	eV for the cell shown
DOS at the Fermi energy	1.041	states/eV per atom

abc: 7.6616 8.0124 13.2938
angles: 90.00 123.89 90.00
Atoms (fractional coordinates):
K  0.0000  0.0000  0.0000
K  0.0000  0.5000  0.5000
K  0.2833  0.0815  0.7570
K  0.2833  0.4185  0.2570
K  0.7167  0.5815  0.7430
K  0.7167  0.9185  0.2430
Ru  0.5000  0.0000  0.5000
Ru  0.5000  0.5000  0.0000
Br  0.1767  0.0256  0.2850
Br  0.1767  0.4744  0.7850
Br  0.2846  0.6662  0.0569
Br  0.2846  0.8338  0.5569
Br  0.3992  0.2299  0.0561
Br  0.3992  0.2701  0.5561
Br  0.6008  0.7299  0.4439
Br  0.6008  0.7701  0.9439
Br  0.7154  0.1662  0.4431
Br  0.7154  0.3338  0.9431
Br  0.8233  0.5256  0.2150
Br  0.8233  0.9744  0.7150

=====

# 2
Material: KRu3Br
Method: DFT, PBE
State: optimized geometry

Computed properties:
crystal system	cubic
SG	No. 221
relative energy among the computed polymorphs	0	meV/atom
raw formation energy	1520	meV/atom
VASP energy	-23.0	eV for the cell shown
DOS at the Fermi energy	1.590	states/eV per atom

abc: 4.7374 4.7374 4.7374
angles: 90.00 90.00 90.00
Atoms (fractional coordinates):
K  0.0000  0.0000  0.0000
Ru  0.0000  0.5000  0.5000
Ru  0.5000  0.0000  0.5000
Ru  0.5000  0.5000  0.0000
Br  0.5000  0.5000  0.5000

=====

# 3
Material: KRu4Br
Method: DFT, PBE
State: optimized geometry

Computed properties:
crystal system	cubic
SG	No. 216
raw formation energy	1171	meV/atom
VASP energy	-32.8	eV for the cell shown
DOS at the Fermi energy	1.541	states/eV per atom

abc: 5.3876 5.3876 5.3876
angles: 60.00 60.00 60.00
Atoms (fractional coordinates):
K  0.0000  0.0000  0.0000
Ru  0.1287  0.6238  0.6238
Ru  0.6238  0.1287  0.6238
Ru  0.6238  0.6238  0.1287
Ru  0.6238  0.6238  0.6238
Br  0.2500  0.2500  0.2500

=====

# 4
Material: KRu3Br
Method: DFT, PBE
State: optimized geometry

Computed properties:
crystal system	cubic
SG	No. 221
relative energy among the computed polymorphs	1384	meV/atom
raw formation energy	2904	meV/atom
VASP energy	-16.1	eV for the cell shown
DOS at the Fermi energy	1.463	states/eV per atom

abc: 4.9452 4.9452 4.9452
angles: 90.00 90.00 90.00
Atoms (fractional coordinates):
K  0.0000  0.0000  0.0000
Ru  0.0000  0.0000  0.5000
Ru  0.0000  0.5000  0.0000
Ru  0.5000  0.0000  0.0000
Br  0.5000  0.5000  0.5000

=====

# 5
Material: KRuBr3
Method: DFT, PBE
State: optimized geometry

Computed properties:
crystal system	cubic
SG	No. 221
relative energy among the computed polymorphs	0	meV/atom
raw formation energy	-550	meV/atom
VASP energy	-18.1	eV for the cell shown
DOS at the Fermi energy	1.331	states/eV per atom

abc: 5.2230 5.2230 5.2230
angles: 90.00 90.00 90.00
Atoms (fractional coordinates):
K  0.0000  0.0000  0.0000
Ru  0.5000  0.5000  0.5000
Br  0.0000  0.5000  0.5000
Br  0.5000  0.0000  0.5000
Br  0.5000  0.5000  0.0000

=====

# 6
Material: KRuBr3
Method: DFT, PBE
State: optimized geometry

Computed properties:
crystal system	cubic
SG	No. 221
relative energy among the computed polymorphs	1177	meV/atom
raw formation energy	626	meV/atom
VASP energy	-12.3	eV for the cell shown
DOS at the Fermi energy	2.345	states/eV per atom

abc: 5.8847 5.8847 5.8847
angles: 90.00 90.00 90.00
Atoms (fractional coordinates):
K  0.0000  0.0000  0.0000
Ru  0.5000  0.5000  0.5000
Br  0.0000  0.0000  0.5000
Br  0.0000  0.5000  0.0000
Br  0.5000  0.0000  0.0000

=====

# 7
Material: K3RuBr
Method: DFT, PBE
State: optimized geometry

Computed properties:
crystal system	cubic
SG	No. 221
relative energy among the computed polymorphs	0	meV/atom
raw formation energy	315	meV/atom
VASP energy	-12.7	eV for the cell shown
DOS at the Fermi energy	0.105	states/eV per atom

abc: 6.1594 6.1594 6.1594
angles: 90.00 90.00 90.00
Atoms (fractional coordinates):
K  0.0000  0.0000  0.5000
K  0.0000  0.5000  0.0000
K  0.5000  0.0000  0.0000
Ru  0.0000  0.0000  0.0000
Br  0.5000  0.5000  0.5000

=====

# 8
Material: K4RuBr
Method: DFT, PBE
State: optimized geometry

Computed properties:
crystal system	cubic
SG	No. 216
raw formation energy	623	meV/atom
VASP energy	-11.6	eV for the cell shown
DOS at the Fermi energy	0.477	states/eV per atom

abc: 7.2571 7.2571 7.2571
angles: 60.00 60.00 60.00
Atoms (fractional coordinates):
K  0.1252  0.1252  0.1252
K  0.1252  0.1252  0.6245
K  0.1252  0.6245  0.1252
K  0.6245  0.1252  0.1252
Ru  0.7500  0.7500  0.7500
Br  0.5000  0.5000  0.5000

=====

# 9
Material: K2RuSBr
Method: DFT, PBE
State: optimized geometry

Computed properties:
crystal system	tetragonal
SG	No. 123
raw formation energy	186	meV/atom
VASP energy	-16.3	eV for the cell shown
DOS at the Fermi energy	0.799	states/eV per atom

abc: 6.0576 6.0576 4.8052
angles: 90.00 90.00 90.00
Atoms (fractional coordinates):
K  0.0000  0.5000  0.0000
K  0.5000  0.0000  0.0000
Ru  0.0000  0.0000  0.5000
S  0.5000  0.5000  0.5000
Br  0.0000  0.0000  0.0000

=====

# 10
Material: KScRu2Br
Method: DFT, PBE
State: optimized geometry

Computed properties:
crystal system	tetragonal
SG	No. 123
raw formation energy	952	meV/atom
VASP energy	-22.9	eV for the cell shown
DOS at the Fermi energy	1.012	states/eV per atom

abc: 4.7506 4.7506 4.9942
angles: 90.00 90.00 90.00
Atoms (fractional coordinates):
K  0.0000  0.0000  0.0000
Sc  0.5000  0.5000  0.0000
Ru  0.0000  0.5000  0.5000
Ru  0.5000  0.0000  0.5000
Br  0.5000  0.5000  0.5000

=====

# 11
Material: KRuSeBr2
Method: DFT, PBE
State: optimized geometry

Computed properties:
crystal system	tetragonal
SG	No. 123
relative energy among the computed polymorphs	0	meV/atom
raw formation energy	-507	meV/atom
VASP energy	-19.7	eV for the cell shown
DOS at the Fermi energy	0.807	states/eV per atom

abc: 5.4433 5.4433 4.6595
angles: 90.00 90.00 90.00
Atoms (fractional coordinates):
K  0.0000  0.0000  0.0000
Ru  0.5000  0.5000  0.5000
Se  0.5000  0.5000  0.0000
Br  0.0000  0.5000  0.5000
Br  0.5000  0.0000  0.5000

=====

# 12
Material: KRuSeBr2
Method: DFT, PBE
State: optimized geometry

Computed properties:
crystal system	tetragonal
SG	No. 123
relative energy among the computed polymorphs	1562	meV/atom
raw formation energy	1055	meV/atom
VASP energy	-11.9	eV for the cell shown
DOS at the Fermi energy	3.059	states/eV per atom

abc: 5.7669 5.7669 5.7914
angles: 90.00 90.00 90.00
Atoms (fractional coordinates):
K  0.0000  0.0000  0.0000
Ru  0.5000  0.5000  0.5000
Se  0.0000  0.0000  0.5000
Br  0.0000  0.5000  0.0000
Br  0.5000  0.0000  0.0000

=====

# 13
Material: K2TlRuBr6
Method: DFT, PBE
State: optimized geometry

Computed properties:
crystal system	triclinic
SG	No. 2
raw formation energy	-937	meV/atom
VASP energy	-33.2	eV for the cell shown
DOS at the Fermi energy	0.949	states/eV per atom

abc: 7.6744 7.6813 7.6891
angles: 63.58 63.58 63.57
Atoms (fractional coordinates):
K  0.2297  0.2307  0.2297
K  0.7703  0.7693  0.7703
Tl  0.5000  0.5000  0.5000
Ru  0.0000  0.0000  0.0000
Br  0.1249  0.8018  0.3110
Br  0.1990  0.6892  0.8747
Br  0.3111  0.1255  0.8026
Br  0.6889  0.8745  0.1974
Br  0.8010  0.3108  0.1253
Br  0.8751  0.1982  0.6890

=====

# 14
Material: K2TlRuBr8
Method: DFT, PBE
State: optimized geometry

Computed properties:
crystal system	triclinic
SG	No. 2
raw formation energy	-786	meV/atom
VASP energy	-36.6	eV for the cell shown
DOS at the Fermi energy	0.557	states/eV per atom

abc: 6.6942 7.0336 9.5430
angles: 79.23 76.03 71.86
Atoms (fractional coordinates):
K  0.1042  0.1080  0.1926
K  0.8958  0.8920  0.8074
Tl  0.5000  0.5000  0.5000
Ru  0.5000  0.5000  0.0000
Br  0.2159  0.5571  0.2274
Br  0.2521  0.9917  0.5067
Br  0.2573  0.4176  0.8723
Br  0.3722  0.8633  0.9026
Br  0.6278  0.1367  0.0974
Br  0.7427  0.5824  0.1277
Br  0.7479  0.0083  0.4933
Br  0.7841  0.4429  0.7726